(1)
The following is a PBE calculation of a relaxed structure of TbHoMgAg, from Alexandria via LeMat-Bulk.

Unit cell a=5.2414 b=5.2414 c=5.2414 alpha=60.00 beta=60.00 gamma=60.00
Last column: nearest neighbours and their distance in Å.
Element x y z (fractional)
Mg: 0.7500 0.7500 0.7500  4 Ho 3.21, 4 Tb 3.21
Tb: 0.0000 0.0000 0.0000  4 Ag 3.21, 4 Mg 3.21
Ho: 0.5000 0.5000 0.5000  4 Mg 3.21, 4 Ag 3.21
Ag: 0.2500 0.2500 0.2500  4 Tb 3.21, 4 Ho 3.21

***

(2)
The following is a PBE calculation of a relaxed structure of Tb2Ho5Th3, from Alexandria via LeMat-Bulk.

Unit cell a=5.0238 b=6.1381 c=12.8594 alpha=61.08 beta=78.74 gamma=65.84
Last column: nearest neighbours and their distance in Å.
Element x y z (fractional)
Tb: 0.4025 0.9935 0.2015  4 Th 3.51-3.59, 8 Ho 3.52-3.59
Tb: 0.5975 0.0065 0.7985  4 Th 3.51-3.59, 8 Ho 3.52-3.59
Ho: 0.0000 0.0000 0.0000  2 Th 3.54, 6 Ho 3.55-3.56, 4 Tb 3.56
Ho: 0.2001 0.0005 0.5994  3 Ho 3.54-3.55, 7 Th 3.54-3.55, 2 Tb 3.56
Ho: 0.7999 0.9995 0.4006  3 Ho 3.54-3.55, 7 Th 3.54-3.55, 2 Tb 3.56
Ho: 0.6998 0.4990 0.1014  4 Tb 3.52-3.59, 6 Ho 3.54-3.58, 2 Th 3.55
Ho: 0.3002 0.5010 0.8986  4 Tb 3.52-3.59, 6 Ho 3.54-3.58, 2 Th 3.55
Th: 0.5000 0.5000 0.5000  2 Tb 3.52, 6 Ho 3.54-3.55, 4 Th 3.56
Th: 0.0987 0.5028 0.2997  3 Tb 3.51-3.59, 7 Ho 3.54-3.55, 2 Th 3.56
Th: 0.9013 0.4972 0.7003  3 Tb 3.51-3.59, 7 Ho 3.54-3.55, 2 Th 3.56

***

| no. | calculated volume (Å³/f.u.) | DFT total energy (eV per atom) | energy relative to the elements (eV/f.u.) |
| --- | --- | --- | --- |
| 1 | 102 | -3.559 | -0.58 |
| 2 | 317 | -5.406 | 0.35 |